(1)
# ZrScCd2 (PBEsol, relaxed)
data_ZrScCd2
_chemical_formula_sum 'Zr2 Sc2 Cd4'
_symmetry_space_group_name_H-M 'A m m 2'
_symmetry_Int_Tables_number 38
_cell_length_a 4.5895
_cell_length_b 3.2050
_cell_length_c 11.5612
_cell_angle_alpha 90.00
_cell_angle_beta 90.00
_cell_angle_gamma 90.00
loop_
_symmetry_equiv_pos_as_xyz
'x,y,z'
'-x,-y,z'
'-x,y,z'
'x,-y,z'
'x,y+1/2,z+1/2'
'-x,-y+1/2,z+1/2'
'-x,y+1/2,z+1/2'
'x,-y+1/2,z+1/2'
loop_
_atom_site_label
_atom_site_fract_x
_atom_site_fract_y
_atom_site_fract_z
Zr1 0.0000 0.0000 0.0000
Sc1 0.5000 0.0000 0.6532
Cd1 0.0000 0.0000 0.2541
Cd2 0.5000 0.0000 0.3962
# * formation energy: -153 meV per atom
# * relative energy among the computed polymorphs: 61.5 meV per atom
# * crystal system: orthorhombic

---

(2)
# ZrSc2TcBi (PBEsol, relaxed)
data_ZrSc2TcBi
_chemical_formula_sum 'Zr1 Sc2 Tc1 Bi1'
_symmetry_space_group_name_H-M 'P 4/m m m'
_symmetry_Int_Tables_number 123
_symmetry_space_group_name_Hall '-P 4 2'
_cell_length_a 5.2002
_cell_length_b 5.2002
_cell_length_c 5.3698
_cell_angle_alpha 90.00
_cell_angle_beta 90.00
_cell_angle_gamma 90.00
loop_
_atom_site_label
_atom_site_fract_x
_atom_site_fract_y
_atom_site_fract_z
Zr1 0.0000 0.0000 0.0000
Sc1 0.0000 0.5000 0.5000
Tc1 0.5000 0.5000 0.0000
Bi1 0.0000 0.0000 0.5000
# * formation energy: 1365 meV per atom
# * crystal system: tetragonal

---

(3)
# ZrCoO3 (PBEsol, relaxed)
data_ZrCoO3
_chemical_formula_sum 'Zr4 Co4 O12'
_symmetry_space_group_name_H-M 'P n m a'
_symmetry_Int_Tables_number 62
_cell_length_a 5.7178
_cell_length_b 6.8682
_cell_length_c 4.8904
_cell_angle_alpha 90.00
_cell_angle_beta 90.00
_cell_angle_gamma 90.00
loop_
_symmetry_equiv_pos_as_xyz
'x,y,z'
'-x,-y,-z'
'-x+1/2,-y,z+1/2'
'x+1/2,y,-z+1/2'
'x+1/2,-y+1/2,-z+1/2'
'-x+1/2,y+1/2,z+1/2'
'-x,y+1/2,-z'
'x,-y+1/2,z'
loop_
_atom_site_label
_atom_site_fract_x
_atom_site_fract_y
_atom_site_fract_z
Zr1 0.1058 0.2500 0.0382
Co1 0.0000 0.0000 0.5000
O1 0.0602 0.7500 0.3456
O2 0.1711 0.5617 0.8296
# * uncorrected formation energy: -2.30 eV/atom
# * crystal system: orthorhombic

---

(4)
# ZrMn2Os (PBEsol, relaxed)
data_ZrMn2Os
_chemical_formula_sum 'Zr1 Mn2 Os1'
_symmetry_space_group_name_H-M 'P 1 2/m 1'
_symmetry_Int_Tables_number 10
_cell_length_a 2.7414
_cell_length_b 3.9458
_cell_length_c 5.4191
_cell_angle_alpha 90.00
_cell_angle_beta 102.47
_cell_angle_gamma 90.00
loop_
_symmetry_equiv_pos_as_xyz
'x,y,z'
'-x,-y,-z'
'-x,y,-z'
'x,-y,z'
loop_
_atom_site_label
_atom_site_fract_x
_atom_site_fract_y
_atom_site_fract_z
Zr1 0.0000 0.0000 0.0000
Mn1 0.4766 0.5000 0.7191
Os1 0.0000 0.0000 0.5000
# * formation energy: 161 meV per atom
# * relative energy among the computed polymorphs: 52.6 meV per atom
# * crystal system: monoclinic

---

(5)
# CaMgSe2 (PBEsol, relaxed)
data_CaMgSe2
_chemical_formula_sum 'Ca3 Mg3 Se6'
_symmetry_space_group_name_H-M 'R 3 m'
_symmetry_Int_Tables_number 160
_symmetry_space_group_name_Hall 'R 3 -2"'
_cell_length_a 3.9416
_cell_length_b 3.9416
_cell_length_c 20.4230
_cell_angle_alpha 90.00
_cell_angle_beta 90.00
_cell_angle_gamma 120.00
loop_
_atom_site_label
_atom_site_fract_x
_atom_site_fract_y
_atom_site_fract_z
Ca1 0.0000 0.0000 0.0000
Mg1 0.0000 0.0000 0.1688
Se1 0.0000 0.0000 0.5762
Se2 0.0000 0.0000 0.7587
# * uncorrected formation energy: -1.57 eV/atom
# * crystal system: trigonal

---

(6)
# GaSb3Au (PBEsol, relaxed)
data_GaSb3Au
_chemical_formula_sum 'Ga1 Sb3 Au1'
_symmetry_space_group_name_H-M 'P m -3 m'
_symmetry_Int_Tables_number 221
_symmetry_space_group_name_Hall '-P 4 2 3'
_cell_length_a 5.3539
_cell_length_b 5.3539
_cell_length_c 5.3539
_cell_angle_alpha 90.00
_cell_angle_beta 90.00
_cell_angle_gamma 90.00
loop_
_atom_site_label
_atom_site_fract_x
_atom_site_fract_y
_atom_site_fract_z
Ga1 0.0000 0.0000 0.0000
Sb1 0.0000 0.5000 0.5000
Au1 0.5000 0.5000 0.5000
# * uncorrected formation energy: 0.62 eV/atom
# * crystal system: cubic

---

(7)
# Ca2HgBr (PBEsol, relaxed)
data_Ca2HgBr
_chemical_formula_sum 'Ca4 Hg2 Br2'
_symmetry_space_group_name_H-M 'I m m 2'
_symmetry_Int_Tables_number 44
_cell_length_a 3.6814
_cell_length_b 3.8867
_cell_length_c 16.1614
_cell_angle_alpha 90.00
_cell_angle_beta 90.00
_cell_angle_gamma 90.00
loop_
_symmetry_equiv_pos_as_xyz
'x,y,z'
'-x,-y,z'
'-x,y,z'
'x,-y,z'
'x+1/2,y+1/2,z+1/2'
'-x+1/2,-y+1/2,z+1/2'
'-x+1/2,y+1/2,z+1/2'
'x+1/2,-y+1/2,z+1/2'
loop_
_atom_site_label
_atom_site_fract_x
_atom_site_fract_y
_atom_site_fract_z
Ca1 0.0000 0.0000 0.0000
Ca2 0.0000 0.5000 0.2650
Hg1 0.0000 0.5000 0.8553
Br1 0.0000 0.0000 0.6026
# * uncorrected formation energy: -0.90 eV/atom
# * crystal system: orthorhombic

---

(8)
# BaZr2Fe (PBEsol, relaxed)
data_BaZr2Fe
_chemical_formula_sum 'Ba2 Zr4 Fe2'
_symmetry_space_group_name_H-M 'C 1 m 1'
_symmetry_Int_Tables_number 8
_cell_length_a 6.9397
_cell_length_b 3.7271
_cell_length_c 8.3883
_cell_angle_alpha 90.00
_cell_angle_beta 106.79
_cell_angle_gamma 90.00
loop_
_symmetry_equiv_pos_as_xyz
'x,y,z'
'x,-y,z'
'x+1/2,y+1/2,z'
'x+1/2,-y+1/2,z'
loop_
_atom_site_label
_atom_site_fract_x
_atom_site_fract_y
_atom_site_fract_z
Ba1 0.0000 0.0000 0.0000
Zr1 0.1863 0.0000 0.6353
Zr2 0.4252 0.0000 0.3567
Fe1 0.3037 0.5000 0.4928
# * formation energy: 237 meV per atom
# * relative energy among the computed polymorphs: 0.0 meV per atom
# * crystal system: monoclinic

---

(9)
# SmMgB5O10 (PBEsol, relaxed)
data_SmMgB5O10
_chemical_formula_sum 'Sm4 Mg4 B20 O40'
_symmetry_space_group_name_H-M 'P 1 21/c 1'
_symmetry_Int_Tables_number 14
_cell_length_a 8.6160
_cell_length_b 7.5987
_cell_length_c 12.3925
_cell_angle_alpha 90.00
_cell_angle_beta 130.81
_cell_angle_gamma 90.00
loop_
_symmetry_equiv_pos_as_xyz
'x,y,z'
'-x,-y,-z'
'-x,y+1/2,-z+1/2'
'x,-y+1/2,z+1/2'
loop_
_atom_site_label
_atom_site_fract_x
_atom_site_fract_y
_atom_site_fract_z
Sm1 0.0518 0.1874 0.2360
Mg1 0.4774 0.5899 0.8740
B1 0.0907 0.6718 0.6077
B2 0.1550 0.5980 0.0000
B3 0.2742 0.0312 0.0526
B4 0.3467 0.5788 0.2625
B5 0.4798 0.1888 0.9130
O1 0.0256 0.7263 0.9841
O2 0.0885 0.1041 0.9142
O3 0.1178 0.5447 0.8811
O4 0.2030 0.7150 0.2361
O5 0.2337 0.5256 0.6473
O6 0.3158 0.0861 0.8075
O7 0.3170 0.5354 0.1329
O8 0.3230 0.6290 0.5085
O9 0.4254 0.1490 0.4273
O10 0.4473 0.1516 0.1291
# * uncorrected formation energy: -2.74 eV/atom
# * crystal system: monoclinic

---

(10)
# H16PdC4S4N8Cl2 (PBEsol, relaxed)
data_H16PdC4S4N8Cl2
_chemical_formula_sum 'H64 Pd4 C16 S16 N32 Cl8'
_symmetry_space_group_name_H-M 'P n a 21'
_symmetry_Int_Tables_number 33
_cell_length_a 12.9321
_cell_length_b 8.0865
_cell_length_c 15.2285
_cell_angle_alpha 90.00
_cell_angle_beta 90.00
_cell_angle_gamma 90.00
loop_
_symmetry_equiv_pos_as_xyz
'x,y,z'
'-x,-y,z+1/2'
'-x+1/2,y+1/2,z+1/2'
'x+1/2,-y+1/2,z'
loop_
_atom_site_label
_atom_site_fract_x
_atom_site_fract_y
_atom_site_fract_z
H1 0.0020 0.0390 0.1554
H2 0.0257 0.6897 0.5894
H3 0.0324 0.9438 0.2561
H4 0.0599 0.4773 0.4791
H5 0.0688 0.1919 0.4990
H6 0.1011 0.1282 0.8523
H7 0.1048 0.5668 0.3809
H8 0.1063 0.0631 0.4100
H9 0.1409 0.9065 0.9668
H10 0.1493 0.4052 0.0000
H11 0.1529 0.6960 0.5536
H12 0.1904 0.7838 0.8797
H13 0.2174 0.0502 0.1218
H14 0.2180 0.4895 0.9118
H15 0.2262 0.1500 0.8110
H16 0.2464 0.9358 0.2175
Pd1 0.1229 0.4962 0.1904
C1 0.1090 0.3126 0.3854
C2 0.1231 0.0385 0.7275
C3 0.1288 0.5459 0.6589
C4 0.1418 0.6589 0.9911
S1 0.0462 0.4873 0.7411
S2 0.0742 0.6907 0.0879
S3 0.1640 0.2826 0.2835
S4 0.2069 0.0024 0.6417
N1 0.0232 0.0093 0.7139
N2 0.0860 0.4619 0.4157
N3 0.0951 0.1798 0.4357
N4 0.0976 0.6347 0.5891
N5 0.1542 0.0966 0.8052
N6 0.1580 0.7913 0.9414
N7 0.1723 0.5095 0.9661
N8 0.2276 0.5031 0.6648
Cl1 0.1016 0.1466 0.0319
Cl2 0.1499 0.8318 0.3421
# * crystal system: orthorhombic
# * uncorrected energy: -5.708 eV/atom

---

(11)
# MgAsPCl2 (PBEsol, relaxed)
data_MgAsPCl2
_chemical_formula_sum 'Mg1 As1 P1 Cl2'
_symmetry_space_group_name_H-M 'P 4/m m m'
_symmetry_Int_Tables_number 123
_symmetry_space_group_name_Hall '-P 4 2'
_cell_length_a 4.4880
_cell_length_b 4.4880
_cell_length_c 5.7579
_cell_angle_alpha 90.00
_cell_angle_beta 90.00
_cell_angle_gamma 90.00
loop_
_atom_site_label
_atom_site_fract_x
_atom_site_fract_y
_atom_site_fract_z
Mg1 0.0000 0.0000 0.0000
As1 0.5000 0.5000 0.5000
P1 0.0000 0.0000 0.5000
Cl1 0.0000 0.5000 0.0000
# * uncorrected formation energy: 0.00 eV/atom
# * crystal system: tetragonal

---

(12)
# ReSi2Ni (PBEsol, relaxed)
data_ReSi2Ni
_chemical_formula_sum 'Re2 Si4 Ni2'
_symmetry_space_group_name_H-M 'C 1 2/m 1'
_symmetry_Int_Tables_number 12
_cell_length_a 8.0967
_cell_length_b 2.6361
_cell_length_c 4.8004
_cell_angle_alpha 90.00
_cell_angle_beta 103.56
_cell_angle_gamma 90.00
loop_
_symmetry_equiv_pos_as_xyz
'x,y,z'
'-x,-y,-z'
'-x,y,-z'
'x,-y,z'
'x+1/2,y+1/2,z'
'-x+1/2,-y+1/2,-z'
'-x+1/2,y+1/2,-z'
'x+1/2,-y+1/2,z'
loop_
_atom_site_label
_atom_site_fract_x
_atom_site_fract_y
_atom_site_fract_z
Re1 0.0000 0.0000 0.0000
Si1 0.2424 0.0000 0.7425
Ni1 0.0000 0.5000 0.5000
# * uncorrected formation energy: -0.20 eV/atom
# * crystal system: monoclinic